# KTcTe2, relaxed, DFT GGA-PBE
data_KTcTe2
_cell_length_a 7.1559
_cell_length_b 7.1559
_cell_length_c 7.1559
_cell_angle_alpha 90.00
_cell_angle_beta 90.00
_cell_angle_gamma 90.00
_space_group_name_H-M_alt 'F m -3 m'
_space_group_IT_number 225
_space_group_name_Hall '-F 4 2 3'
loop_
_atom_site_label
_atom_site_fract_x
_atom_site_fract_y
_atom_site_fract_z
K1 0.0000 0.0000 0.0000
Tc1 0.0000 0.0000 0.5000
Te1 0.2500 0.2500 0.2500
# - Distance to the lowest polymorph of the same formula: 0.528 eV per atom
# - Total DFT energy (no corrections): -4.176 eV/atom
# - E_form (uncorrected): 0.26 eV/atom

# KTcTe, relaxed, DFT GGA-PBE
data_KTcTe
_cell_length_a 4.3355
_cell_length_b 4.3355
_cell_length_c 5.8918
_cell_angle_alpha 90.00
_cell_angle_beta 90.00
_cell_angle_gamma 120.00
_space_group_name_H-M_alt 'P 3 m 1'
_space_group_IT_number 156
_space_group_name_Hall 'P 3 -2"'
loop_
_atom_site_label
_atom_site_fract_x
_atom_site_fract_y
_atom_site_fract_z
K1 0.0000 0.0000 0.0000
Tc1 0.6667 0.3333 0.4729
Te1 0.3333 0.6667 0.5582
# - Distance to the lowest polymorph of the same formula: 0.138 eV per atom
# - Total DFT energy (no corrections): -4.508 eV/atom
# - E_form (uncorrected): 0.36 eV/atom

# K2TcTe, relaxed, DFT GGA-PBE
data_K2TcTe
_cell_length_a 4.7229
_cell_length_b 4.7490
_cell_length_c 10.8371
_cell_angle_alpha 90.00
_cell_angle_beta 90.00
_cell_angle_gamma 90.00
_space_group_name_H-M_alt 'C m m m'
_space_group_IT_number 65
_space_group_name_Hall '-C 2 2'
loop_
_atom_site_label
_atom_site_fract_x
_atom_site_fract_y
_atom_site_fract_z
K1 0.0000 0.0000 0.2464
Tc1 0.0000 0.5000 0.5000
Te1 0.0000 0.5000 0.0000
# - Total DFT energy (no corrections): -3.207 eV/atom
# - E_form (uncorrected): 0.72 eV/atom

# K2TcTe, relaxed, DFT GGA-PBE
data_K2TcTe
_cell_length_a 3.5342
_cell_length_b 3.5342
_cell_length_c 10.4087
_cell_angle_alpha 90.00
_cell_angle_beta 90.00
_cell_angle_gamma 90.00
_space_group_name_H-M_alt 'P 4 m m'
_space_group_IT_number 99
_space_group_name_Hall 'P 4 -2'
loop_
_atom_site_label
_atom_site_fract_x
_atom_site_fract_y
_atom_site_fract_z
K1 0.0000 0.0000 0.0000
K2 0.5000 0.5000 0.4062
Tc1 0.0000 0.0000 0.6501
Te1 0.5000 0.5000 0.7517
# - Total DFT energy (no corrections): -3.700 eV/atom
# - E_form (uncorrected): 0.23 eV/atom

# KTcTe2, relaxed, DFT GGA-PBE
data_KTcTe2
_cell_length_a 7.6564
_cell_length_b 7.6564
_cell_length_c 7.6564
_cell_angle_alpha 90.00
_cell_angle_beta 90.00
_cell_angle_gamma 90.00
_space_group_name_H-M_alt 'F -4 3 m'
_space_group_IT_number 216
_space_group_name_Hall 'F -4 2 3'
loop_
_atom_site_label
_atom_site_fract_x
_atom_site_fract_y
_atom_site_fract_z
K1 0.0000 0.0000 0.0000
Tc1 0.2500 0.2500 0.2500
Te1 0.0000 0.0000 0.5000
Te2 0.2500 0.2500 0.7500
# - Distance to the lowest polymorph of the same formula: 1.053 eV per atom
# - Total DFT energy (no corrections): -3.651 eV/atom
# - E_form (uncorrected): 0.79 eV/atom

# KTcTe2, relaxed, DFT GGA-PBE
data_KTcTe2
_cell_length_a 3.2196
_cell_length_b 5.8190
_cell_length_c 5.8165
_cell_angle_alpha 90.00
_cell_angle_beta 90.00
_cell_angle_gamma 90.00
_space_group_name_H-M_alt 'P m m 2'
_space_group_IT_number 25
_space_group_name_Hall 'P 2 -2'
loop_
_atom_site_label
_atom_site_fract_x
_atom_site_fract_y
_atom_site_fract_z
K1 0.0000 0.0000 0.0000
Tc1 0.5000 0.5000 0.4983
Te1 0.5000 0.0000 0.4999
Te2 0.5000 0.5000 0.9988
# - Distance to the lowest polymorph of the same formula: 0.493 eV per atom
# - Total DFT energy (no corrections): -4.211 eV/atom
# - E_form (uncorrected): 0.23 eV/atom

# K2TcTe, relaxed, DFT GGA-PBE
data_K2TcTe
_cell_length_a 12.9279
_cell_length_b 12.9279
_cell_length_c 5.0844
_cell_angle_alpha 90.00
_cell_angle_beta 90.00
_cell_angle_gamma 90.00
_space_group_name_H-M_alt 'I -4 2 d'
_space_group_IT_number 122
_space_group_name_Hall 'I -4 2bw'
loop_
_atom_site_label
_atom_site_fract_x
_atom_site_fract_y
_atom_site_fract_z
K1 0.0049 0.2500 0.1250
Tc1 0.0000 0.0000 0.0000
Te1 0.0000 0.0000 0.5000
# - Total DFT energy (no corrections): -3.520 eV/atom
# - E_form (uncorrected): 0.41 eV/atom

# KTcTe2, relaxed, DFT GGA-PBE
data_KTcTe2
_cell_length_a 3.4337
_cell_length_b 3.4337
_cell_length_c 8.4964
_cell_angle_alpha 90.00
_cell_angle_beta 90.00
_cell_angle_gamma 90.00
_space_group_name_H-M_alt 'P 4/m m m'
_space_group_IT_number 123
_space_group_name_Hall '-P 4 2'
loop_
_atom_site_label
_atom_site_fract_x
_atom_site_fract_y
_atom_site_fract_z
K1 0.0000 0.0000 0.0000
Tc1 0.0000 0.0000 0.5000
Te1 0.5000 0.5000 0.3116
# - Distance to the lowest polymorph of the same formula: 0.203 eV per atom
# - Total DFT energy (no corrections): -4.501 eV/atom
# - E_form (uncorrected): -0.06 eV/atom

# K2TcTe, relaxed, DFT GGA-PBE
data_K2TcTe
_cell_length_a 4.9917
_cell_length_b 6.0835
_cell_length_c 10.0014
_cell_angle_alpha 90.00
_cell_angle_beta 90.00
_cell_angle_gamma 90.00
_space_group_name_H-M_alt 'I m m 2'
_space_group_IT_number 44
_space_group_name_Hall 'I 2 -2'
loop_
_atom_site_label
_atom_site_fract_x
_atom_site_fract_y
_atom_site_fract_z
K1 0.0000 0.0000 0.0000
K2 0.0000 0.5000 0.1928
Tc1 0.0000 0.5000 0.8139
Te1 0.0000 0.0000 0.3872
# - Total DFT energy (no corrections): -3.583 eV/atom
# - E_form (uncorrected): 0.34 eV/atom

# KTcTe2, relaxed, DFT GGA-PBE
data_KTcTe2
_cell_length_a 4.4674
_cell_length_b 4.4674
_cell_length_c 10.9312
_cell_angle_alpha 90.00
_cell_angle_beta 90.00
_cell_angle_gamma 90.00
_space_group_name_H-M_alt 'I -4 m 2'
_space_group_IT_number 119
_space_group_name_Hall 'I -4 -2'
loop_
_atom_site_label
_atom_site_fract_x
_atom_site_fract_y
_atom_site_fract_z
K1 0.0000 0.0000 0.0000
Tc1 0.0000 0.5000 0.7500
Te1 0.0000 0.0000 0.5000
Te2 0.0000 0.5000 0.2500
# - Distance to the lowest polymorph of the same formula: 0.782 eV per atom
# - Total DFT energy (no corrections): -3.922 eV/atom
# - E_form (uncorrected): 0.51 eV/atom

# KTcTe2, relaxed, DFT GGA-PBE
data_KTcTe2
_cell_length_a 3.3424
_cell_length_b 4.0508
_cell_length_c 8.9409
_cell_angle_alpha 90.00
_cell_angle_beta 90.00
_cell_angle_gamma 90.00
_space_group_name_H-M_alt 'P m m 2'
_space_group_IT_number 25
_space_group_name_Hall 'P 2 -2'
loop_
_atom_site_label
_atom_site_fract_x
_atom_site_fract_y
_atom_site_fract_z
K1 0.0000 0.0000 0.0000
Tc1 0.5000 0.5000 0.4671
Te1 0.0000 0.0000 0.3808
Te2 0.5000 0.5000 0.7546
# - Distance to the lowest polymorph of the same formula: 0.306 eV per atom
# - Total DFT energy (no corrections): -4.397 eV/atom
# - E_form (uncorrected): 0.04 eV/atom

# KTcTe2, relaxed, DFT GGA-PBE
data_KTcTe2
_cell_length_a 7.7093
_cell_length_b 3.5837
_cell_length_c 8.1461
_cell_angle_alpha 90.00
_cell_angle_beta 100.90
_cell_angle_gamma 90.00
_space_group_name_H-M_alt 'C 1 2/m 1'
_space_group_IT_number 12
_space_group_name_Hall '-C 2y'
loop_
_atom_site_label
_atom_site_fract_x
_atom_site_fract_y
_atom_site_fract_z
K1 0.0000 0.0000 0.0000
Tc1 0.0000 0.5000 0.5000
Te1 0.2339 0.0000 0.6781
# - Distance to the lowest polymorph of the same formula: 0.022 eV per atom
# - Total DFT energy (no corrections): -4.682 eV/atom
# - E_form (uncorrected): -0.25 eV/atom

Question: E_form (uncorrected) of number 6 (KTcTe2)?
Answer: 0.23 eV/atom